Record 1
A plane-wave DFT calculation with SCAN was carried out for a crystal of MoIrRh3 relaxed with PBEsol.

a b c (Å): 4.494 4.494 4.494
angles (deg): 90.00 90.00 90.00
Positions (direct):
Mo: 0.000 0.000 0.000
Ir: 0.500 0.500 0.500
Rh: 0.000 0.500 0.000
Rh: 0.000 0.000 0.500
Rh: 0.500 0.000 0.000

Values from the calculation:
The volume is 18.15 Å³ per atom. The calculation puts the energy of formation from the pure elements at 8.63 eV/f.u.

=====

Record 2
A plane-wave DFT calculation with SCAN was carried out for a crystal of Mo2IrRu relaxed with PBEsol.

a b c (Å): 2.731 3.853 5.473
angles (deg): 90.00 90.00 90.00
Positions (direct):
Ru: 0.500 0.500 0.500
Mo: 0.000 0.000 0.747
Mo: 0.000 0.000 0.253
Ir: 0.500 0.500 0.000

Values from the calculation:
The volume is 14.40 Å³ per atom. The value obtained for the energy above the lowest structure with this stoichiometry is 15 meV per atom. The calculation puts the energy of formation from the pure elements at -0.66 eV/f.u.

=====

Record 3
A plane-wave DFT calculation with SCAN was carried out for a crystal of Mo2IrRu relaxed with PBEsol.

a b c (Å): 2.761 4.391 4.750
angles (deg): 90.00 90.00 90.00
Positions (direct):
Ru: 0.500 0.000 0.555
Mo: 0.000 0.000 0.048
Mo: 0.000 0.500 0.699
Ir: 0.500 0.500 0.198

Values from the calculation:
The volume is 14.40 Å³ per atom. The value obtained for the energy above the lowest structure with this stoichiometry is 14 meV per atom. The calculation puts the energy of formation from the pure elements at -0.66 eV/f.u.

=====

Record 4
A plane-wave DFT calculation with SCAN was carried out for a crystal of Mo2IrRu relaxed with PBEsol.

a b c (Å): 2.737 2.737 7.690
angles (deg): 90.00 90.00 90.00
Positions (direct):
Ru: 0.500 0.500 0.000
Mo: 0.000 0.000 0.753
Mo: 0.000 0.000 0.247
Ir: 0.500 0.500 0.500

Values from the calculation:
The volume is 14.40 Å³ per atom. The value obtained for the energy above the lowest structure with this stoichiometry is 26 meV per atom. The calculation puts the energy of formation from the pure elements at -0.62 eV/f.u.

=====

Record 5
A plane-wave DFT calculation with SCAN was carried out for a crystal of Mo2IrRu relaxed with PBEsol.

a b c (Å): 2.730 4.728 4.728
angles (deg): 109.21 90.00 90.00
Positions (direct):
Ru: 0.500 0.000 0.000
Mo: 0.000 0.500 0.000
Mo: 0.000 0.000 0.500
Ir: 0.500 0.500 0.500

Values from the calculation:
The volume is 14.40 Å³ per atom. The value obtained for the energy above the lowest structure with this stoichiometry is 12 meV per atom. The calculation puts the energy of formation from the pure elements at -0.67 eV/f.u.

=====

Record 6
A plane-wave DFT calculation with SCAN was carried out for a crystal of MoIrRu3 relaxed with PBEsol.

a b c (Å): 4.571 4.571 4.571
angles (deg): 90.00 90.00 90.00
Site moments in Bohr magnetons follow the coordinates.
Positions (direct):
Ru: 0.000 0.500 0.000  0.27
Ru: 0.000 0.000 0.500  0.27
Ru: 0.500 0.000 0.000  0.27
Mo: 0.500 0.500 0.500  3.15
Ir: 0.000 0.000 0.000  0.11

Values from the calculation:
The volume is 19.11 Å³ per atom. The calculation puts the energy of formation from the pure elements at 10.06 eV/f.u.

=====

Record 7
A plane-wave DFT calculation with SCAN was carried out for a crystal of Mo2IrRu relaxed with PBEsol.

a b c (Å): 3.862 3.862 4.728
angles (deg): 114.11 114.11 90.00
Positions (direct):
Ru: 0.500 0.500 0.000
Mo: 0.250 0.750 0.500
Mo: 0.750 0.250 0.500
Ir: 0.000 0.000 0.000

Values from the calculation:
The volume is 14.39 Å³ per atom. The value obtained for the energy above the lowest structure with this stoichiometry is 0 meV per atom. The calculation puts the energy of formation from the pure elements at -0.72 eV/f.u.

=====

Record 8
A plane-wave DFT calculation with SCAN was carried out for a crystal of SiMoIrS2 relaxed with PBEsol.

a b c (Å): 4.354 4.354 4.516
angles (deg): 90.00 90.00 90.00
Site moments in Bohr magnetons follow the coordinates.
Positions (direct):
Mo: 0.500 0.500 0.500  3.16
Ir: 0.000 0.000 0.500  -0.34
Si: 0.000 0.000 0.000  0.04
S: 0.000 0.500 0.000  -0.15
S: 0.500 0.000 0.000  -0.15

Values from the calculation:
The volume is 17.13 Å³ per atom. The formation energy without anion corrections comes out at 1.02 eV/atom.

=====

Record 9
A plane-wave DFT calculation with SCAN was carried out for a crystal of Sb2MoIr relaxed with PBEsol.

a b c (Å): 3.025 5.402 5.402
angles (deg): 108.49 105.67 105.67
Positions (direct):
Ir: 0.500 0.000 0.000
Mo: 0.500 0.500 0.500
Sb: 0.000 0.500 0.000
Sb: 0.000 0.000 0.500

Values from the calculation:
The volume is 18.55 Å³ per atom. The value obtained for the energy above the lowest structure with this stoichiometry is 420 meV per atom. The formation energy without anion corrections comes out at 0.64 eV/atom.

=====

Record 10
A plane-wave DFT calculation with SCAN was carried out for a crystal of Sb2MoIr relaxed with PBEsol.

a b c (Å): 3.324 3.324 6.343
angles (deg): 90.00 90.00 90.00
Positions (direct):
Ir: 0.500 0.500 0.000
Mo: 0.500 0.500 0.500
Sb: 0.000 0.000 0.746
Sb: 0.000 0.000 0.254

Values from the calculation:
The volume is 17.52 Å³ per atom. The value obtained for the energy above the lowest structure with this stoichiometry is 91 meV per atom. The formation energy without anion corrections comes out at 0.31 eV/atom.

=====

Record 11
A plane-wave DFT calculation with SCAN was carried out for a crystal of Sb2MoIr relaxed with PBEsol.

a b c (Å): 3.646 3.611 6.303
angles (deg): 106.65 106.81 90.00
Positions (direct):
Ir: 0.465 0.465 0.929
Mo: 0.207 0.707 0.415
Sb: 0.034 0.034 0.068
Sb: 0.794 0.294 0.588

Values from the calculation:
The volume is 18.95 Å³ per atom. The value obtained for the energy above the lowest structure with this stoichiometry is 0 meV per atom. The formation energy without anion corrections comes out at 0.22 eV/atom.

=====

Record 12
A plane-wave DFT calculation with SCAN was carried out for a crystal of SbMoIr relaxed with PBEsol.

a b c (Å): 2.870 4.467 4.467
angles (deg): 120.00 90.00 90.00
Positions (direct):
Ir: 0.167 0.000 0.000
Mo: 0.667 0.333 0.667
Sb: 0.166 0.667 0.333

Values from the calculation:
The volume is 16.53 Å³ per atom. The formation energy without anion corrections comes out at 0.27 eV/atom.

=====

Record 13
A plane-wave DFT calculation with SCAN was carried out for a crystal of ScMoIr3 relaxed with PBEsol.

a b c (Å): 4.650 4.650 4.650
angles (deg): 90.00 90.00 90.00
Positions (direct):
Sc: 0.500 0.500 0.500
Mo: 0.000 0.000 0.000
Ir: 0.000 0.500 0.000
Ir: 0.000 0.000 0.500
Ir: 0.500 0.000 0.000

Values from the calculation:
The volume is 20.10 Å³ per atom. The calculation puts the energy of formation from the pure elements at 4.46 eV/f.u.

=====

Record 14
A plane-wave DFT calculation with SCAN was carried out for a crystal of MoIrSe2 relaxed with PBEsol.

a b c (Å): 3.136 3.136 6.207
angles (deg): 90.00 90.00 90.00
Positions (direct):
Ir: 0.500 0.500 0.000
Mo: 0.500 0.500 0.500
Se: 0.000 0.000 0.739
Se: 0.000 0.000 0.261

Values from the calculation:
The volume is 15.26 Å³ per atom. The value obtained for the energy above the lowest structure with this stoichiometry is 379 meV per atom. The formation energy without anion corrections comes out at 0.39 eV/atom.

=====

Record 15
A plane-wave DFT calculation with SCAN was carried out for a crystal of MoIrSe2 relaxed with PBEsol.

a b c (Å): 2.921 2.921 8.070
angles (deg): 90.00 90.00 90.00
Positions (direct):
Ir: 0.000 0.000 0.518
Mo: 0.500 0.500 0.745
Se: 0.000 0.000 0.935
Se: 0.500 0.500 0.302

Values from the calculation:
The volume is 17.21 Å³ per atom. The value obtained for the energy above the lowest structure with this stoichiometry is 0 meV per atom. The formation energy without anion corrections comes out at 0.01 eV/atom.

=====

Record 16
A plane-wave DFT calculation with SCAN was carried out for a crystal of MoIrSe2 relaxed with PBEsol.

a b c (Å): 4.502 4.502 4.502
angles (deg): 60.00 60.00 60.00
Positions (direct):
Ir: 0.500 0.500 0.500
Mo: 0.250 0.250 0.250
Se: 0.000 0.000 0.000
Se: 0.750 0.750 0.750

Values from the calculation:
The volume is 16.13 Å³ per atom. The value obtained for the energy above the lowest structure with this stoichiometry is 723 meV per atom. The formation energy without anion corrections comes out at 0.74 eV/atom.

=====

Record 17
A plane-wave DFT calculation with SCAN was carried out for a crystal of MoIrSe2 relaxed with PBEsol.

a b c (Å): 5.542 5.542 6.750
angles (deg): 114.24 114.24 90.00
Positions (direct):
Mo: 0.750 0.250 0.500
Mo: 0.500 0.500 0.000
Ir: 0.250 0.750 0.500
Ir: 0.000 0.000 0.000
Se: 0.372 0.875 0.250
Se: 0.878 0.375 0.250
Se: 0.125 0.122 0.750
Se: 0.625 0.628 0.750

Values from the calculation:
The volume is 21.10 Å³ per atom. The value obtained for the energy above the lowest structure with this stoichiometry is 291 meV per atom. The formation energy without anion corrections comes out at 0.31 eV/atom.

=====

Record 18
A plane-wave DFT calculation with SCAN was carried out for a crystal of MoIrSe2 relaxed with PBEsol.

a b c (Å): 3.078 3.078 8.428
angles (deg): 79.48 79.48 60.00
Positions (direct):
Mo: 0.500 0.500 0.500
Ir: 0.000 0.000 0.000
Se: 0.905 0.905 0.285
Se: 0.095 0.095 0.715

Values from the calculation:
The volume is 16.90 Å³ per atom. The value obtained for the energy above the lowest structure with this stoichiometry is 86 meV per atom. The formation energy without anion corrections comes out at 0.10 eV/atom.

=====

Record 19
A plane-wave DFT calculation with SCAN was carried out for a crystal of MoIr3Se relaxed with PBEsol.

a b c (Å): 4.657 4.657 4.657
angles (deg): 90.00 90.00 90.00
Positions (direct):
Mo: 0.000 0.000 0.000
Ir: 0.000 0.500 0.000
Ir: 0.000 0.000 0.500
Ir: 0.500 0.000 0.000
Se: 0.500 0.500 0.500

Values from the calculation:
The volume is 20.20 Å³ per atom. The formation energy without anion corrections comes out at 1.98 eV/atom.

=====

Record 20
A plane-wave DFT calculation with SCAN was carried out for a crystal of Mo2IrSe relaxed with PBEsol.

a b c (Å): 2.857 4.567 4.567
angles (deg): 90.00 90.00 90.00
Positions (direct):
Ir: 0.500 0.000 0.000
Mo: 0.000 0.000 0.500
Mo: 0.000 0.500 0.000
Se: 0.500 0.500 0.500

Values from the calculation:
The volume is 14.89 Å³ per atom. The formation energy without anion corrections comes out at 0.12 eV/atom.